Entry from the Alexandria database: a geometry-optimized SmPu2Sc3Se6 structure (GGA-PBE).

Final energy (eV per cell): -92.7

Lattice parameters (Å, degrees): 6.9124 6.9124 7.0094 99.47 99.47 120.06
Site moments in Bohr magnetons follow the coordinates.
Sites, in units of the cell vectors:
Se 0.0905 0.4262 0.2710  -0.03
Se 0.2457 0.2457 0.7292  -0.03
Se 0.9095 0.5738 0.7290  -0.03
Se 0.7543 0.7543 0.2708  -0.03
Se 0.4262 0.0905 0.2710  -0.03
Se 0.5738 0.9095 0.7290  -0.03
Sm 0.0000 0.0000 0.0000  0.08
Pu 0.6669 0.3331 0.0000  5.46
Pu 0.3331 0.6669 0.0000  5.46
Sc 0.8345 0.1655 0.5000  0.02
Sc 0.5000 0.5000 0.5000  0.02
Sc 0.1655 0.8345 0.5000  0.02